Density functional theory data (GGA-PBE) for a relaxed Sr3Hg2Ge2 crystal.

a b c (Å): 4.1394 6.5159 9.1484
angles (deg): 113.62 90.00 108.52
Atoms (fractional coordinates):
Sr 0.6874 0.3749 0.6559
Hg 0.0416 0.0833 0.3416
Ge 0.1842 0.3684 0.9387
Hg 0.9584 0.9167 0.6584
Sr 0.3126 0.6251 0.3441
Ge 0.8158 0.6316 0.0613
Sr 0.5000 0.0000 0.0000

## Properties
N(E_F)	3.6	states/eV/f.u.
calculated formation energy	-538	meV per atom


Density functional theory data (GGA-PBE) for a relaxed SrHg3Ge3 crystal.

a b c (Å): 7.4989 7.4989 7.4989
angles (deg): 90.00 90.00 90.00
Atoms (fractional coordinates):
Sr 0.0000 0.0000 0.0000
Hg 0.0000 0.5000 0.2500
Hg 0.5000 0.7500 0.0000
Ge 0.2500 0.5000 0.0000
Hg 0.7500 0.0000 0.5000
Hg 0.5000 0.2500 0.0000
Hg 0.2500 0.0000 0.5000
Ge 0.7500 0.5000 0.0000
Ge 0.5000 0.0000 0.7500
Hg 0.0000 0.5000 0.7500
Sr 0.5000 0.5000 0.5000
Ge 0.5000 0.0000 0.2500
Ge 0.0000 0.7500 0.5000
Ge 0.0000 0.2500 0.5000

## Properties
N(E_F)	5.5	states/eV/f.u.
calculated formation energy	129	meV per atom


Density functional theory data (GGA-PBE) for a relaxed SrTbHgGe crystal.

a b c (Å): 5.3506 5.3506 5.3506
angles (deg): 60.00 60.00 60.00
Atoms (fractional coordinates):
Tb 0.2500 0.2500 0.2500
Ge 0.5000 0.5000 0.5000
Sr 0.7500 0.7500 0.7500
Hg 0.0000 0.0000 0.0000

## Properties
N(E_F)	3.2	states/eV/f.u.
calculated formation energy	-479	meV per atom


Density functional theory data (GGA-PBE) for a relaxed SrYHgGe crystal.

a b c (Å): 5.3454 5.3454 5.3454
angles (deg): 60.00 60.00 60.00
Atoms (fractional coordinates):
Hg 0.2500 0.2500 0.2500
Sr 0.5000 0.5000 0.5000
Ge 0.7500 0.7500 0.7500
Y 0.0000 0.0000 0.0000

## Properties
N(E_F)	3.1	states/eV/f.u.
calculated formation energy	-487	meV per atom


Density functional theory data (GGA-PBE) for a relaxed Sr2Zn3HgGe4 crystal.

a b c (Å): 4.4584 4.4584 10.9817
angles (deg): 90.00 90.00 90.00
Atoms (fractional coordinates):
Hg 0.5000 0.5000 0.5000
Ge 0.5000 0.0000 0.6437
Ge 0.0000 0.5000 0.3563
Ge 0.0000 0.0000 0.0000
Sr 0.5000 0.0000 0.2468
Ge 0.5000 0.5000 0.0000
Zn 0.0000 0.5000 0.1281
Zn 0.0000 0.0000 0.5000
Zn 0.5000 0.0000 0.8719
Sr 0.0000 0.5000 0.7532

## Properties
N(E_F)	1.8	states/eV/f.u.
calculated formation energy	-325	meV per atom


Density functional theory data (GGA-PBE) for a relaxed SrZn2HgGe crystal.

a b c (Å): 6.4605 6.0196 6.4605
angles (deg): 90.00 90.00 90.00
Last column: magnetic moment on the atom in μB.
Atoms (fractional coordinates):
Hg 0.5000 0.5000 0.5000  0.03
Ge 0.0000 0.5000 0.0000  0.59
Sr 0.0000 0.0000 0.0000  0.08
Zn 0.0000 0.0000 0.5000  0.01
Zn 0.5000 0.0000 0.0000  0.01

## Properties
N(E_F)	2.4	states/eV/f.u.
calculated formation energy	753	meV per atom


Density functional theory data (GGA-PBE) for a relaxed Ta2HgGe2 crystal.

a b c (Å): 7.6065 7.6065 3.1933
angles (deg): 90.00 90.00 90.00
Atoms (fractional coordinates):
Ta 0.8695 0.3695 0.5000
Ge 0.1586 0.3414 0.0000
Ge 0.8414 0.6586 0.0000
Ta 0.3695 0.1305 0.5000
Ta 0.1305 0.6305 0.5000
Hg 0.5000 0.5000 0.0000
Ge 0.3414 0.8414 0.0000
Hg 0.0000 0.0000 0.0000
Ge 0.6586 0.1586 0.0000
Ta 0.6305 0.8695 0.5000

## Properties
N(E_F)	1.3	states/eV/f.u.
calculated formation energy	197	meV per atom


Density functional theory data (GGA-PBE) for a relaxed Ta2HgGe2 crystal.

a b c (Å): 7.5129 7.5129 3.3075
angles (deg): 90.00 90.00 90.00
Atoms (fractional coordinates):
Ta 0.8685 0.6315 0.0000
Hg 0.5000 0.5000 0.0000
Ge 0.6601 0.8399 0.5000
Hg 0.0000 0.0000 0.0000
Ge 0.3399 0.1601 0.5000
Ge 0.1601 0.6601 0.5000
Ta 0.6315 0.1315 0.0000
Ge 0.8399 0.3399 0.5000
Ta 0.3685 0.8685 0.0000
Ta 0.1315 0.3685 0.0000

## Properties
N(E_F)	2.5	states/eV/f.u.
calculated formation energy	72	meV per atom


Density functional theory data (GGA-PBE) for a relaxed TaHg3Ge crystal.

a b c (Å): 5.3583 5.3583 5.3583
angles (deg): 90.00 90.00 90.00
Atoms (fractional coordinates):
Hg 0.5000 0.0000 0.0000
Hg 0.0000 0.5000 0.0000
Ge 0.5000 0.5000 0.5000
Ta 0.0000 0.0000 0.0000
Hg 0.0000 0.0000 0.5000

## Properties
N(E_F)	3.6	states/eV/f.u.
calculated formation energy	1055	meV per atom


Density functional theory data (GGA-PBE) for a relaxed TaHg3Ge crystal.

a b c (Å): 5.0695 5.0695 5.0695
angles (deg): 90.00 90.00 90.00
Atoms (fractional coordinates):
Ge 0.0000 0.0000 0.0000
Hg 0.5000 0.0000 0.0000
Ta 0.5000 0.5000 0.5000
Hg 0.0000 0.5000 0.0000
Hg 0.0000 0.0000 0.5000

## Properties
N(E_F)	4.4	states/eV/f.u.
calculated formation energy	1337	meV per atom


Density functional theory data (GGA-PBE) for a relaxed TaHgGe3 crystal.

a b c (Å): 5.0701 5.0701 5.0701
angles (deg): 90.00 90.00 90.00
Atoms (fractional coordinates):
Hg 0.5000 0.5000 0.5000
Ta 0.0000 0.0000 0.0000
Ge 0.0000 0.5000 0.0000
Ge 0.0000 0.0000 0.5000
Ge 0.5000 0.0000 0.0000

## Properties
N(E_F)	2.2	states/eV/f.u.
calculated formation energy	366	meV per atom


Density functional theory data (GGA-PBE) for a relaxed Ta3HgGe crystal.

a b c (Å): 4.7515 4.7515 4.7515
angles (deg): 90.00 90.00 90.00
Atoms (fractional coordinates):
Ta 0.0000 0.5000 0.0000
Ta 0.5000 0.0000 0.0000
Ta 0.0000 0.0000 0.5000
Ge 0.0000 0.0000 0.0000
Hg 0.5000 0.5000 0.5000

## Properties
N(E_F)	8.5	states/eV/f.u.
calculated formation energy	1067	meV per atom


Density functional theory data (GGA-PBE) for a relaxed TaHg2Ge crystal.

a b c (Å): 7.8266 7.8266 6.1812
angles (deg): 50.72 50.72 90.00
Atoms (fractional coordinates):
Ta 0.0000 0.0000 0.0000
Ge 0.2500 0.7500 0.5000
Hg 0.8750 0.8684 0.7500
Ta 0.7500 0.2500 0.5000
Hg 0.3750 0.3816 0.7500
Hg 0.6184 0.1250 0.2500
Hg 0.1316 0.6250 0.2500
Ge 0.5000 0.5000 0.0000

## Properties
N(E_F)	2.6	states/eV/f.u.
calculated formation energy	567	meV per atom


Density functional theory data (GGA-PBE) for a relaxed TaHgGe3 crystal.

a b c (Å): 5.0206 5.0206 5.0206
angles (deg): 90.00 90.00 90.00
Atoms (fractional coordinates):
Ge 0.0000 0.5000 0.0000
Ge 0.5000 0.0000 0.0000
Ta 0.5000 0.5000 0.5000
Hg 0.0000 0.0000 0.0000
Ge 0.0000 0.0000 0.5000

## Properties
N(E_F)	4.8	states/eV/f.u.
calculated formation energy	1603	meV per atom


Density functional theory data (GGA-PBE) for a relaxed TaHgGe2 crystal.

a b c (Å): 7.5984 7.5984 6.1062
angles (deg): 51.52 51.52 90.00
Atoms (fractional coordinates):
Ta 0.2500 0.7500 0.5000
Hg 0.0000 0.0000 0.0000
Hg 0.7500 0.2500 0.5000
Ge 0.1540 0.6250 0.2500
Ge 0.3750 0.4040 0.7500
Ta 0.5000 0.5000 0.0000
Ge 0.5960 0.1250 0.2500
Ge 0.8750 0.8460 0.7500

## Properties
N(E_F)	3.1	states/eV/f.u.
calculated formation energy	561	meV per atom


Density functional theory data (GGA-PBE) for a relaxed TaHgGeTe2 crystal.

a b c (Å): 5.3888 5.4490 5.3888
angles (deg): 90.00 90.00 90.00
Last column: magnetic moment on the atom in μB.
Atoms (fractional coordinates):
Ge 0.5000 0.5000 0.5000  0.37
Te 0.5000 0.0000 0.0000  -0.02
Te 0.0000 0.0000 0.5000  -0.03
Ta 0.0000 0.0000 0.0000  0.08
Hg 0.0000 0.5000 0.0000  0.03

## Properties
N(E_F)	6.8	states/eV/f.u.
energy relative to the elements, uncorrected	0.6082	eV per atom


Density functional theory data (GGA-PBE) for a relaxed Ta2VHgGe crystal.

a b c (Å): 4.7782 4.5163 4.7782
angles (deg): 90.00 90.00 90.00
Last column: magnetic moment on the atom in μB.
Atoms (fractional coordinates):
Ge 0.0000 0.0000 0.0000  -0.02
Hg 0.5000 0.5000 0.5000  -0.01
Ta 0.5000 0.0000 0.0000  -0.10
V 0.0000 0.5000 0.0000  1.39
Ta 0.0000 0.0000 0.5000  -0.17

## Properties
N(E_F)	3.3	states/eV/f.u.
calculated formation energy	967	meV per atom


Density functional theory data (GGA-PBE) for a relaxed YTa2HgGe crystal.

a b c (Å): 5.1560 5.0225 5.1560
angles (deg): 90.00 90.00 90.00
Atoms (fractional coordinates):
Hg 0.0000 0.0000 0.0000
Y 0.5000 0.5000 0.5000
Ta 0.0000 0.0000 0.5000
Ta 0.5000 0.0000 0.0000
Ge 0.0000 0.5000 0.0000

## Properties
N(E_F)	11.3	states/eV/f.u.
calculated formation energy	1523	meV per atom


Density functional theory data (GGA-PBE) for a relaxed Tb7Hg2Ge2 crystal.

a b c (Å): 6.7908 7.2361 6.7908
angles (deg): 90.00 106.61 90.00
Atoms (fractional coordinates):
Tb 0.5000 0.7286 0.0000
Tb 0.5000 0.7445 0.5000
Hg 0.1788 0.5000 0.1788
Tb 0.5000 0.2714 0.0000
Hg 0.8212 0.5000 0.8212
Tb 0.5000 0.2555 0.5000
Ge 0.7152 0.0000 0.2848
Tb 0.0000 0.7286 0.5000
Tb 0.0000 0.0000 0.0000
Tb 0.0000 0.2714 0.5000
Ge 0.2848 0.0000 0.7152

## Properties
N(E_F)	12.1	states/eV/f.u.
calculated formation energy	-325	meV per atom


Density functional theory data (GGA-PBE) for a relaxed Tb3HgGe2 crystal.

a b c (Å): 8.2184 8.2184 8.2184
angles (deg): 52.36 52.36 52.36
Atoms (fractional coordinates):
Ge 0.8422 0.8422 0.8422
Hg 0.0000 0.0000 0.0000
Tb 0.7500 0.4476 0.0524
Ge 0.1578 0.1578 0.1578
Ge 0.6578 0.6578 0.6578
Ge 0.3422 0.3422 0.3422
Tb 0.5524 0.9476 0.2500
Tb 0.4476 0.0524 0.7500
Tb 0.0524 0.7500 0.4476
Tb 0.2500 0.5524 0.9476
Tb 0.9476 0.2500 0.5524
Hg 0.5000 0.5000 0.5000

## Properties
N(E_F)	4.3	states/eV/f.u.
calculated formation energy	-578	meV per atom


Density functional theory data (GGA-PBE) for a relaxed Tb2HgGe crystal.

a b c (Å): 4.2889 4.2889 7.4263
angles (deg): 73.22 73.22 60.00
Atoms (fractional coordinates):
Tb 0.2628 0.2628 0.2116
Ge 0.0000 0.0000 0.0000
Hg 0.5000 0.5000 0.5000
Tb 0.7372 0.7372 0.7884

## Properties
N(E_F)	3.6	states/eV/f.u.
calculated formation energy	-560	meV per atom


Density functional theory data (GGA-PBE) for a relaxed Tb5Hg2Ge2 crystal.

a b c (Å): 7.6921 7.7126 8.8044
angles (deg): 90.00 64.10 90.00
Atoms (fractional coordinates):
Hg 0.2139 0.0000 0.5721
Hg 0.7861 0.0000 0.4279
Tb 0.9505 0.3285 0.7421
Ge 0.6276 0.1308 0.0000
Tb 0.4505 0.1715 0.7421
Ge 0.8724 0.6308 0.0000
Hg 0.7139 0.5000 0.5721
Tb 0.3073 0.6715 0.7421
Tb 0.0495 0.6715 0.2579
Tb 0.1927 0.1715 0.2579
Tb 0.5495 0.8285 0.2579
Ge 0.1276 0.3692 0.0000
Tb 0.0000 0.0000 0.0000
Tb 0.8073 0.8285 0.7421
Tb 0.5000 0.5000 0.0000
Hg 0.2861 0.5000 0.4279
Tb 0.6927 0.3285 0.2579
Ge 0.3724 0.8692 0.0000

## Properties
N(E_F)	6.8	states/eV/f.u.
calculated formation energy	-643	meV per atom


Density functional theory data (GGA-PBE) for a relaxed Tb2HgGe crystal.

a b c (Å): 3.7603 5.1062 5.1062
angles (deg): 90.00 90.00 90.00
Atoms (fractional coordinates):
Hg 0.5000 0.5000 0.5000
Tb 0.0000 0.0000 0.5000
Ge 0.5000 0.0000 0.0000
Tb 0.0000 0.5000 0.0000

## Properties
N(E_F)	2.9	states/eV/f.u.
calculated formation energy	-579	meV per atom


Density functional theory data (GGA-PBE) for a relaxed TbHgGe4 crystal.

a b c (Å): 5.6287 5.6287 5.6287
angles (deg): 60.00 60.00 60.00
Atoms (fractional coordinates):
Ge 0.6243 0.6243 0.6243
Hg 0.0000 0.0000 0.0000
Ge 0.1271 0.6243 0.6243
Tb 0.2500 0.2500 0.2500
Ge 0.6243 0.1271 0.6243
Ge 0.6243 0.6243 0.1271

## Properties
N(E_F)	1.9	states/eV/f.u.
calculated formation energy	-159	meV per atom


Density functional theory data (GGA-PBE) for a relaxed TbHgGe2 crystal.

a b c (Å): 4.1773 4.5214 4.5214
angles (deg): 90.00 90.00 90.00
Atoms (fractional coordinates):
Ge 0.0000 0.5000 0.0000
Ge 0.0000 0.0000 0.5000
Hg 0.5000 0.0000 0.0000
Tb 0.5000 0.5000 0.5000

## Properties
N(E_F)	1.4	states/eV/f.u.
calculated formation energy	-390	meV per atom